Computed, not measured: an optimized crystal structure of Sr3InGa at the PBE level of DFT.

Output
VASP energy = -2.4858 eV per atom
formation energy from the elements = -0.324 eV/atom
N(E_F) = 0.639 states/eV per atom
space group = Cmcm (63)

a = 11.554 Å, b = 11.554 Å, c = 5.695 Å
α = 90.00°, β = 90.00°, γ = 151.44°
Sites, in units of the cell vectors:
Sr 0.075 0.925 0.750
Sr 0.250 0.750 0.750
Sr 0.425 0.575 0.750
Sr 0.575 0.425 0.250
Sr 0.750 0.250 0.250
Sr 0.925 0.075 0.250
In 0.159 0.841 0.250
In 0.841 0.159 0.750
Ga 0.342 0.658 0.250
Ga 0.658 0.342 0.750


Computed, not measured: an optimized crystal structure of BaLiGa3 at the PBE level of DFT.

Output
VASP energy = -2.7235 eV per atom
formation energy from the elements = -0.140 eV/atom
N(E_F) = 0.648 states/eV per atom
space group = Pm-3m (221)

a = 4.955 Å, b = 4.955 Å, c = 4.955 Å
α = 90.00°, β = 90.00°, γ = 90.00°
Sites, in units of the cell vectors:
Ba 0.000 0.000 0.000
Li 0.500 0.500 0.500
Ga 0.000 0.500 0.500
Ga 0.500 0.000 0.500
Ga 0.500 0.500 0.000


Computed, not measured: an optimized crystal structure of CuIr2Br at the PBE level of DFT.

Output
formation energy (no corrections) = 372.7 kJ/mol of formula units
VASP energy = -4.9071 eV per atom
N(E_F) = 1.406 states/eV per atom
space group = Cmmm (65)

a = 4.671 Å, b = 4.671 Å, c = 2.882 Å
α = 90.00°, β = 90.00°, γ = 103.91°
Sites, in units of the cell vectors:
Cu 0.000 0.000 0.000
Ir 0.000 0.500 0.500
Ir 0.500 0.000 0.500
Br 0.500 0.500 0.000


Computed, not measured: an optimized crystal structure of PaTl2CuS4 at the PBE level of DFT.

Output
formation energy (no corrections) = -518.4 kJ/mol of formula units
VASP energy = -5.0259 eV per atom
space group = I-4 (82)

a = 6.642 Å, b = 6.642 Å, c = 6.642 Å
α = 113.84°, β = 113.84°, γ = 101.04°
Sites, in units of the cell vectors:
Pa 0.000 0.000 0.000
Tl 0.500 0.500 0.000
Tl 0.750 0.250 0.500
Cu 0.250 0.750 0.500
S 0.123 0.035 0.433
S 0.310 0.877 0.912
S 0.602 0.690 0.567
S 0.965 0.398 0.088


Computed, not measured: an optimized crystal structure of LuMnAgIr at the PBE level of DFT.

Output
VASP energy = -6.6048 eV per atom
formation energy from the elements = -0.254 eV/atom
N(E_F) = 0.743 states/eV per atom
space group = F-43m (216)

a = 4.665 Å, b = 4.665 Å, c = 4.665 Å
α = 60.00°, β = 60.00°, γ = 60.00°
Sites, in units of the cell vectors:
Lu 0.000 0.000 0.000
Mn 0.500 0.500 0.500
Ag 0.250 0.250 0.250
Ir 0.750 0.750 0.750


Computed, not measured: an optimized crystal structure of KSr2Au6 at the PBE level of DFT.

Output
VASP energy = -3.1708 eV per atom
formation energy from the elements = -0.490 eV/atom
N(E_F) = 0.213 states/eV per atom
space group = Immm (71)

a = 8.654 Å, b = 8.654 Å, c = 8.654 Å
α = 151.89°, β = 120.18°, γ = 67.37°
Sites, in units of the cell vectors:
K 0.000 0.000 0.000
Sr 0.358 0.858 0.500
Sr 0.642 0.142 0.500
Au 0.048 0.316 0.731
Au 0.326 0.500 0.826
Au 0.415 0.684 0.731
Au 0.585 0.316 0.269
Au 0.674 0.500 0.174
Au 0.952 0.684 0.269


Computed, not measured: an optimized crystal structure of Pm3HoTl at the PBE level of DFT.

Output
VASP energy = -4.3366 eV per atom
formation energy from the elements = -0.097 eV/atom
N(E_F) = 1.286 states/eV per atom
space group = C2/m (12)

a = 6.735 Å, b = 6.735 Å, c = 9.900 Å
α = 107.40°, β = 107.40°, γ = 48.93°
Sites, in units of the cell vectors:
Pm 0.137 0.137 0.102
Pm 0.214 0.214 0.782
Pm 0.346 0.346 0.468
Pm 0.654 0.654 0.532
Pm 0.786 0.786 0.218
Pm 0.863 0.863 0.898
Ho 0.453 0.453 0.147
Ho 0.547 0.547 0.853
Tl 0.055 0.055 0.377
Tl 0.945 0.945 0.623


Computed, not measured: an optimized crystal structure of AcPr3Rh at the PBE level of DFT.

Output
VASP energy = -5.4419 eV per atom
formation energy from the elements = -0.282 eV/atom
N(E_F) = 1.154 states/eV per atom
space group = C2/m (12)

a = 7.689 Å, b = 7.689 Å, c = 8.696 Å
α = 124.27°, β = 124.27°, γ = 69.82°
Sites, in units of the cell vectors:
Ac 0.050 0.050 0.268
Ac 0.950 0.950 0.732
Pr 0.056 0.459 0.801
Pr 0.451 0.451 0.655
Pr 0.459 0.056 0.801
Pr 0.541 0.944 0.199
Pr 0.549 0.549 0.345
Pr 0.944 0.541 0.199
Rh 0.251 0.251 0.111
Rh 0.749 0.749 0.889


Computed, not measured: an optimized crystal structure of K2Zr2Os at the PBE level of DFT.

Output
VASP energy = -5.0091 eV per atom
formation energy from the elements = 1.095 eV/atom
N(E_F) = 1.357 states/eV per atom
space group = I4/mmm (139)

a = 9.519 Å, b = 9.519 Å, c = 9.519 Å
α = 157.24°, β = 157.24°, γ = 32.41°
Sites, in units of the cell vectors:
K 0.250 0.750 0.500
K 0.750 0.250 0.500
Zr 0.071 0.071 0.000
Zr 0.929 0.929 0.000
Os 0.500 0.500 0.000


Computed, not measured: an optimized crystal structure of BeTc2Hg at the PBE level of DFT.

Output
VASP energy = -5.7692 eV per atom
formation energy from the elements = 0.421 eV/atom
N(E_F) = 0.745 states/eV per atom
space group = Imm2 (44)

a = 4.964 Å, b = 4.964 Å, c = 4.964 Å
α = 143.39°, β = 126.87°, γ = 66.25°
Sites, in units of the cell vectors:
Be 0.000 0.000 0.000
Tc 0.511 0.511 0.000
Tc 0.780 0.280 0.500
Hg 0.228 0.728 0.500


Computed, not measured: an optimized crystal structure of SiMo2Rh at the PBE level of DFT.

Output
formation energy (no corrections) = -111.8 kJ/mol of formula units
VASP energy = -8.8988 eV per atom
N(E_F) = 0.472 states/eV per atom
space group = I4/mmm (139)

a = 4.967 Å, b = 4.967 Å, c = 4.967 Å
α = 136.16°, β = 136.16°, γ = 63.73°
Sites, in units of the cell vectors:
Si 0.000 0.000 0.000
Mo 0.250 0.750 0.500
Mo 0.750 0.250 0.500
Rh 0.500 0.500 0.000


Computed, not measured: an optimized crystal structure of Ca3HfTh2As6 at the PBE level of DFT.

Output
VASP energy = -6.1523 eV per atom
formation energy from the elements = -1.261 eV/atom
N(E_F) = 0.029 states/eV per atom
space group = C2/m (12)

a = 7.257 Å, b = 7.257 Å, c = 7.300 Å
α = 99.59°, β = 99.59°, γ = 120.02°
Sites, in units of the cell vectors:
Ca 0.000 0.000 0.000
Ca 0.330 0.670 0.000
Ca 0.670 0.330 0.000
Hf 0.500 0.500 0.500
Th 0.166 0.834 0.500
Th 0.834 0.166 0.500
As 0.105 0.422 0.266
As 0.263 0.263 0.735
As 0.422 0.105 0.266
As 0.578 0.895 0.734
As 0.737 0.737 0.265
As 0.895 0.578 0.734


Computed, not measured: an optimized crystal structure of KLaRh2 at the PBE level of DFT.

Output
VASP energy = -5.2697 eV per atom
formation energy from the elements = -0.088 eV/atom
N(E_F) = 0.371 states/eV per atom
space group = C2/m (12)

a = 4.746 Å, b = 4.746 Å, c = 6.803 Å
α = 110.74°, β = 110.74°, γ = 59.78°
Sites, in units of the cell vectors:
K 0.000 0.000 0.000
La 0.500 0.500 0.500
Rh 0.181 0.181 0.543
Rh 0.819 0.819 0.457


Computed, not measured: an optimized crystal structure of Cd3FeSi at the PBE level of DFT.

Output
formation energy (no corrections) = 425.4 kJ/mol of formula units
VASP energy = -2.4443 eV per atom
N(E_F) = 0.915 states/eV per atom
space group = Pm-3m (221)

a = 4.988 Å, b = 4.988 Å, c = 4.988 Å
α = 90.00°, β = 90.00°, γ = 90.00°
Sites, in units of the cell vectors:
Cd 0.000 0.000 0.500
Cd 0.000 0.500 0.000
Cd 0.500 0.000 0.000
Fe 0.000 0.000 0.000
Si 0.500 0.500 0.500


Computed, not measured: an optimized crystal structure of FeHg2As at the PBE level of DFT.

Output
VASP energy = -2.9322 eV per atom
formation energy from the elements = 0.497 eV/atom
N(E_F) = 0.514 states/eV per atom
space group = I-4m2 (119)

a = 5.312 Å, b = 5.312 Å, c = 5.312 Å
α = 133.48°, β = 133.48°, γ = 67.91°
Sites, in units of the cell vectors:
Fe 0.000 0.000 0.000
Hg 0.250 0.750 0.500
Hg 0.500 0.500 0.000
As 0.750 0.250 0.500


Computed, not measured: an optimized crystal structure of Mg2HS at the PBE level of DFT.

Output
VASP energy = -2.8901 eV per atom
N(E_F) = 0.609 states/eV per atom
space group = Fm-3m (225)

a = 4.438 Å, b = 4.438 Å, c = 4.438 Å
α = 60.00°, β = 60.00°, γ = 60.00°
Sites, in units of the cell vectors:
Mg 0.250 0.250 0.250
Mg 0.750 0.750 0.750
H 0.000 0.000 0.000
S 0.500 0.500 0.500


Computed, not measured: an optimized crystal structure of LiRhI2N at the PBE level of DFT.

Output
formation energy (no corrections) = 534.9 kJ/mol of formula units
VASP energy = -3.0295 eV per atom
N(E_F) = 1.413 states/eV per atom
space group = P4/mmm (123)

a = 5.181 Å, b = 5.181 Å, c = 3.552 Å
α = 90.00°, β = 90.00°, γ = 90.00°
Sites, in units of the cell vectors:
Li 0.000 0.000 0.000
Rh 0.500 0.500 0.500
I 0.000 0.500 0.000
I 0.500 0.000 0.000
N 0.000 0.000 0.500


Computed, not measured: an optimized crystal structure of Y4Te2SeN2 at the PBE level of DFT.

Output
formation energy (no corrections) = -1392.2 kJ/mol of formula units
VASP energy = -7.4115 eV per atom
N(E_F) = 0.007 states/eV per atom
space group = C2/m (12)

a = 8.106 Å, b = 8.106 Å, c = 7.303 Å
α = 106.13°, β = 106.13°, γ = 28.76°
Sites, in units of the cell vectors:
Y 0.053 0.053 0.272
Y 0.289 0.289 0.352
Y 0.711 0.711 0.648
Y 0.947 0.947 0.728
Te 0.366 0.366 0.963
Te 0.634 0.634 0.037
Se 0.500 0.500 0.500
N 0.177 0.177 0.488
N 0.823 0.823 0.512


Computed, not measured: an optimized crystal structure of La3Tb6ErTh2 at the PBE level of DFT.

Output
VASP energy = -5.1445 eV per atom
formation energy from the elements = 0.019 eV/atom
N(E_F) = 1.352 states/eV per atom
space group = C2/m (12)

a = 6.243 Å, b = 6.243 Å, c = 11.903 Å
α = 95.02°, β = 95.02°, γ = 119.99°
Sites, in units of the cell vectors:
La 0.000 0.000 0.000
La 0.334 0.666 0.000
La 0.666 0.334 0.000
Tb 0.082 0.419 0.257
Tb 0.244 0.244 0.743
Tb 0.419 0.082 0.257
Tb 0.581 0.918 0.743
Tb 0.756 0.756 0.257
Tb 0.918 0.581 0.743
Er 0.500 0.500 0.500
Th 0.167 0.833 0.500
Th 0.833 0.167 0.500


Computed, not measured: an optimized crystal structure of Y3HfFe at the PBE level of DFT.

Output
VASP energy = -7.1389 eV per atom
formation energy from the elements = 0.423 eV/atom
N(E_F) = 1.979 states/eV per atom
space group = Pm-3m (221)

a = 5.173 Å, b = 5.173 Å, c = 5.173 Å
α = 90.00°, β = 90.00°, γ = 90.00°
Sites, in units of the cell vectors:
Y 0.000 0.000 0.500
Y 0.000 0.500 0.000
Y 0.500 0.000 0.000
Hf 0.500 0.500 0.500
Fe 0.000 0.000 0.000